First-principles (GGA+U) data for crystalline UVSnO6 at its relaxed geometry, as listed in the Alexandria database.

Lattice parameters (Å, degrees): 5.4607 5.4607 10.2286 90.00 90.00 120.00
Last column: nearest neighbours and their distance in Å.
Space group P-31c (No. 163)
One atom of each set of equivalent atoms:
U: 0.3333 0.6667 0.2500 [2 per cell]  6 O 2.09
V: 0.3333 0.6667 0.7500 [2 per cell]  6 O 1.98
Sn: 0.0000 0.0000 0.0000 [2 per cell]  6 O 2.51
O: 0.0161 0.3766 0.6457 [12 per cell]  1 V 1.98, 1 U 2.09

Calculated values
Mass density = 6.33 g/cm3
Total magnetization = 2.01 μB per cell
E = -8.105 eV per atom